1.
# Ga3PPd

A relaxed structure of Ga3PPd (GGA-PBE, the Alexandria database).

Cell: 4.7156 4.7156 4.7156 Å, 90.00 90.00 90.00°
With the nearest neighbours (Å) after each atom.
Fractional coordinates of all 5 atoms:
Ga 0.0000 0.0000 0.5000  2 P 2.36
Ga 0.0000 0.5000 0.0000  2 P 2.36
Ga 0.5000 0.0000 0.0000  2 P 2.36
P 0.0000 0.0000 0.0000  6 Ga 2.36
Pd 0.5000 0.5000 0.5000  12 Ga 3.33

Properties
total moment	0.000	μB/atom
relative energy among the computed polymorphs	0.168	eV per atom
SG	Pm-3m (221)
V	20.973	Å³/atom
E_form	187	kJ/mol of formula units
total DFT energy (no corrections)	-3.5491	eV/atom


2.
# GaP2Pd8

A relaxed structure of GaP2Pd8 (GGA-PBE, the Alexandria database).

Cell: 7.5258 7.5258 5.9961 Å, 111.48 111.48 31.55°
With the nearest neighbours (Å) after each atom.
Fractional coordinates of all 11 atoms:
Ga 0.0000 0.0000 0.0000  8 Pd 2.56-2.66
P 0.3267 0.3267 0.3185  5 Pd 2.31-2.43
P 0.6733 0.6733 0.6815  5 Pd 2.31-2.43
Pd 0.0944 0.0944 0.4774  2 P 2.43, 1 Ga 2.66
Pd 0.1804 0.1804 0.9788  1 P 2.31
Pd 0.3106 0.3106 0.6889  1 P 2.32
Pd 0.4659 0.4659 0.2136  1 P 2.33, 2 Ga 2.56
Pd 0.5341 0.5341 0.7864  1 P 2.33, 2 Ga 2.56
Pd 0.6894 0.6894 0.3111  1 P 2.32
Pd 0.8196 0.8196 0.0212  1 P 2.31
Pd 0.9056 0.9056 0.5226  2 P 2.43, 1 Ga 2.66

Properties
total moment	0.000	μB/atom
relative energy among the computed polymorphs	0.012	eV per atom
SG	C2/m (12)
V	14.940	Å³/atom
E_form	-505	kJ/mol of formula units
total DFT energy (no corrections)	-5.5108	eV/atom